[1]
The following is a PBE calculation of an optimized crystal structure of K2CaHg6, from Alexandria via LeMat-Bulk.

## Properties
- Formation energy: -0.291 eV/atom
- Space group: P6/mmm (191)
- VASP energy: -0.96 eV/atom

The structure in POSCAR format:
```
K2CaHg6
1.0
3.7175 -0.0001 0.0010
0.0012 7.9274 4.5585
-0.0004 0.0159 9.1446
Hg Ca K
6 1 2
direct
0.5000 0.3289 0.6711 Hg
0.5008 0.0000 0.3289 Hg
0.4992 0.0000 0.6711 Hg
0.5008 0.3289 0.0000 Hg
0.5000 0.6711 0.3289 Hg
0.4992 0.6711 0.0000 Hg
0.0000 0.0000 0.0000 Ca
0.0000 0.3333 0.3333 K
0.0000 0.6667 0.6667 K
```

***

[2]
The following is a PBE calculation of an optimized crystal structure of BRuO2F, from Alexandria via LeMat-Bulk.

## Properties
- ΔE_f (raw): -1.20 eV/f.u.
- Space group: P4/mmm (123)
- VASP energy: -5.79 eV/atom

The structure in POSCAR format:
```
BRuO2F
1.0
-2.2075 -1.5493 -1.9398
-0.3066 -2.4057 2.2704
-2.9920 2.0497 1.7679
O F B Ru
2 1 1 1
direct
0.0000 0.5000 0.0000 O
0.5000 0.0000 0.0000 O
0.0000 0.0000 0.5000 F
0.0000 0.0000 0.0000 B
0.5000 0.5000 0.5000 Ru
```